Compound: SrLaMn
Source: Alexandria
Functional: PBE-GGA
Structure: relaxed

```
3
Lattice="3.842 0.000 0.000 -1.921 3.327 0.000 0.000 0.000 8.116" Properties=species:S:1:pos:R:3 pbc="T T T"
Sr 0.000 0.000 0.000
La 1.921 1.109 3.574
Mn 0.000 2.218 5.681
```

Results
SG: P3m1, No. 156
formation energy: 0.5010 eV/atom

Compound: SrHo2ReO8
Source: Alexandria
Functional: PBE-GGA
Structure: relaxed

```
12
Lattice="4.983 0.000 0.000 0.000 7.150 0.000 -0.040 0.000 5.009" Properties=species:S:1:pos:R:3 pbc="T T T"
Sr 0.000 0.000 0.000
Ho 2.472 1.907 2.504
Ho 2.472 5.244 2.504
Re 0.000 3.575 0.000
O 0.910 2.210 4.109
O 0.910 4.940 4.109
O 1.335 3.575 1.398
O 1.620 0.000 1.764
O 3.324 0.000 3.245
O 3.608 3.575 3.611
O 4.034 2.210 0.900
O 4.034 4.940 0.900
```

Results
SG: P2/m, No. 10
ΔE_f (raw): -2.50 eV per atom

Compound: HoTm4Sc3
Source: Alexandria
Functional: PBE-GGA
Structure: relaxed

```
16
Lattice="10.786 0.000 0.000 0.000 6.958 0.000 0.000 0.000 6.007" Properties=species:S:1:pos:R:3 pbc="T T T"
Ho 0.000 0.848 0.000
Ho 5.393 6.110 3.003
Tm 0.000 2.598 3.062
Tm 0.000 6.101 3.022
Tm 2.697 2.603 1.050
Tm 2.696 4.355 4.054
Tm 5.393 0.857 0.018
Tm 5.393 4.360 0.059
Tm 8.089 2.603 1.050
Tm 8.090 4.355 4.054
Sc 0.000 4.364 0.063
Sc 2.664 6.089 1.022
Sc 2.729 0.869 4.026
Sc 5.393 2.594 3.066
Sc 8.056 0.869 4.026
Sc 8.122 6.089 1.022
```

Results
SG: Pmn2_1, No. 31
formation energy: 0.0148 eV/atom

Compound: TaAsPt2
Source: Alexandria
Functional: PBE-GGA
Structure: relaxed

```
4
Lattice="2.903 0.000 0.000 0.000 2.903 0.000 0.000 0.000 8.007" Properties=species:S:1:pos:R:3 pbc="T T T"
Ta 0.000 0.000 0.000
As 0.000 0.000 4.004
Pt 1.451 1.451 1.901
Pt 1.451 1.451 6.106
```

Results
SG: P4/mmm, No. 123
formation energy: -0.3715 eV/atom

Compound: Al3HgSe
Source: Alexandria
Functional: PBE-GGA
Structure: relaxed

```
5
Lattice="5.033 0.000 0.000 0.000 5.033 0.000 0.000 0.000 5.033" Properties=species:S:1:pos:R:3 pbc="T T T"
Al 0.000 0.000 2.517
Al 0.000 2.517 0.000
Al 2.517 0.000 0.000
Hg 2.517 2.517 2.517
Se 0.000 0.000 0.000
```

Results
SG: Pm-3m, No. 221
ΔE_f (raw): 0.55 eV per atom

Compound: NaAgS2N
Source: Alexandria
Functional: PBE-GGA
Structure: relaxed

```
5
Lattice="5.026 0.000 0.000 0.000 5.026 0.000 0.000 0.000 4.143" Properties=species:S:1:pos:R:3 pbc="T T T"
Na 0.000 0.000 0.000
Ag 2.513 2.513 2.072
S 0.000 2.513 2.072
S 2.513 0.000 2.072
N 2.513 2.513 0.000
```

Results
SG: P4/mmm, No. 123
ΔE_f (raw): 0.82 eV per atom

Compound: Th3Al4Cd2
Source: Alexandria
Functional: PBE-GGA
Structure: relaxed

```
9
Lattice="5.563 -2.347 0.000 5.563 2.347 0.000 -3.416 0.000 8.301" Properties=species:S:1:pos:R:3 pbc="T T T"
Th 0.000 0.000 0.000
Th 2.686 0.000 2.711
Th 5.024 0.000 5.590
Al -0.665 0.000 3.313
Al -0.181 0.000 7.855
Al 7.891 0.000 0.446
Al 8.375 0.000 4.988
Cd 1.731 0.000 5.899
Cd 5.979 0.000 2.402
```

Results
SG: C2/m, No. 12
formation energy: -0.3230 eV/atom

Compound: CsH6PtPb
Source: Alexandria
Functional: PBE-GGA
Structure: relaxed

```
9
Lattice="5.750 0.000 0.000 -2.875 4.980 0.000 0.000 0.000 5.561" Properties=species:S:1:pos:R:3 pbc="T T T"
Cs 0.000 0.000 0.000
H 2.225 0.506 3.783
H 1.551 1.674 1.778
H 3.525 0.506 1.778
H 2.201 2.800 3.783
H 4.199 1.674 3.783
H 3.549 2.800 1.778
Pt 2.875 1.660 2.780
Pb 0.000 3.320 2.780
```

Results
SG: P312, No. 149

| no. | total moment (μB/f.u.) | DFT total energy (eV/cell) |
| --- | --- | --- |
| 1 | 3.5 | -14.28 |
| 2 | 1.0 | -92.98 |
| 3 | 0.0 | -82.68 |
| 4 | 0.0 | -30.07 |
| 5 | 0.0 | -12.27 |
| 6 | 2.7 | -16.67 |
| 7 | 0.0 | -41.97 |
| 8 | 0.0 | -31.60 |